The following is a DFT calculation (PBE+U) of a relaxed structure of CoAsNO. Values from VASP.

```
&SYSTEM
  ibrav = 0, nat = 16, ntyp = 4
/
ATOMIC_SPECIES
O 16.00 O.upf
N 14.01 N.upf
Co 58.93 Co.upf
As 74.92 As.upf
CELL_PARAMETERS angstrom
5.0948 0.0000 0.0000
0.0000 6.1994 0.0000
0.0000 0.0000 6.4663
ATOMIC_POSITIONS angstrom
O 4.2748 2.5524 6.1271
O 1.7274 2.5524 3.5724
O 4.2748 3.6469 2.8939
O 1.7274 3.6469 0.3393
N 4.6347 5.4248 0.4744
N 4.6347 0.7745 3.7076
N 2.0873 5.4248 2.7588
N 2.0873 0.7745 5.9920
Co 0.1027 5.4277 2.4302
Co 2.6500 5.4277 0.8030
Co 0.1027 0.7716 5.6633
Co 2.6500 0.7716 4.0362
As 0.1462 2.0567 2.5955
As 2.6936 2.0567 0.6377
As 2.6936 4.1427 3.8709
As 0.1462 4.1427 5.8286
```

## Properties
- Offset from the most stable computed form: 65 meV/atom
- Raw total energy: -5.97 eV per atom
- SG: Pca2_1
- Volume: 204 Å³ per cell